The following is a DFT calculation (PBE-GGA) of a relaxed TbHfF7 crystal.

Lattice parameters (Å, degrees): 6.0860 5.8205 8.2977 90.00 103.10 90.00
Space group P2_1 (No. 4)
Symmetry-distinct sites (fractional):
Tb  0.1532  0.0000  0.1892 [2 per cell]
Hf  0.3166  0.0052  0.7258 [2 per cell]
F  0.0285  0.7203  0.0115 [2 per cell]
F  0.0804  0.7596  0.7073 [2 per cell]
F  0.0924  0.2639  0.7069 [2 per cell]
F  0.2697  0.0020  0.4786 [2 per cell]
F  0.3618  0.0091  0.9720 [2 per cell]
F  0.4324  0.2725  0.2548 [2 per cell]
F  0.4415  0.7448  0.2624 [2 per cell]

Properties
**Energy relative to the elements, uncorrected**: -3.999 eV/atom
**VASP energy**: -127.349 eV for the cell shown